Record 1
The following is a PBE calculation of Tb3InSi2Pd9 after structural relaxation, from the Alexandria database.

Summary:
* raw formation energy: -0.644 eV per atom
* Fermi-level density of states: 8.8 states/eV/cell

Cell: 5.7018 5.7018 11.3924 Å, 90.00 90.00 120.00°
Positions (direct):
Pd  0.8389  0.6778  0.6978
Pd  0.5000  0.5000  0.0000
Pd  0.6778  0.8389  0.3022
Pd  0.1611  0.8389  0.3022
Tb  0.3333  0.6667  0.7631
Pd  0.5000  0.0000  0.0000
Pd  0.8389  0.1611  0.6978
Si  0.6667  0.3333  0.8412
Pd  0.1611  0.3222  0.3022
Si  0.3333  0.6667  0.1588
Tb  0.0000  0.0000  0.0000
Tb  0.6667  0.3333  0.2369
Pd  0.3222  0.1611  0.6978
Pd  0.0000  0.5000  0.0000
In  0.0000  0.0000  0.5000

---

Record 2
The following is a PBE calculation of Y2InSi2Pd5 after structural relaxation, from the Alexandria database.

Summary:
* raw formation energy: -0.756 eV per atom
* Fermi-level density of states: 16.2 states/eV/cell

Cell: 3.5839 10.0755 10.0755 Å, 90.00 90.00 90.00°
Positions (direct):
Pd  0.5000  0.2831  0.5613
Si  0.0000  0.1224  0.6224
Y  0.0000  0.1768  0.3232
Pd  0.5000  0.5000  0.0000
In  0.0000  0.0000  0.0000
Pd  0.5000  0.4387  0.2831
Pd  0.5000  0.7169  0.4387
Y  0.0000  0.6768  0.1768
Pd  0.5000  0.7831  0.9387
Y  0.0000  0.3232  0.8232
Pd  0.5000  0.2169  0.0613
Pd  0.5000  0.0000  0.5000
Pd  0.5000  0.0613  0.7831
Pd  0.5000  0.5613  0.7169
Pd  0.5000  0.9387  0.2169
Si  0.0000  0.8776  0.3776
Si  0.0000  0.3776  0.1224
Si  0.0000  0.6224  0.8776
Y  0.0000  0.8232  0.6768
In  0.0000  0.5000  0.5000